## PrDyBiI2 (PBE)

Data for crystalline PrDyBiI2 at its relaxed geometry.

a b c (Å): 4.459 4.459 11.486
angles (deg): 90.00 90.00 120.00
Element x y z (fractional)
Pr 0.000 0.000 0.000
Dy 0.667 0.333 0.690
Bi 0.333 0.667 0.836
I 0.000 0.000 0.526
I 0.667 0.333 0.176

Summary:
total magnetization = 0.000 μB/atom
total DFT energy (no corrections) = -4.474 eV/atom